Entry 1:
! GGA-PBE SiS2O, optimized geometry; values from VASP
! - SG: R-3m, No. 166
! - E_form (uncorrected): -0.056 eV per atom
! - V: 62.80 Å³ per cell
&SYSTEM
  ibrav = 0, nat = 4, ntyp = 3
/
ATOMIC_SPECIES
Si 28.09 Si.upf
S 32.06 S.upf
O 16.00 O.upf
ATOMIC_POSITIONS crystal
Si 0.500 0.500 0.500
S 0.098 0.098 0.098
S 0.902 0.902 0.902
O 0.000 0.000 0.000
CELL_PARAMETERS angstrom
-5.514 -3.629 -0.552
-3.055 -5.877 0.043
-4.440 -4.164 2.613



Entry 2:
! GGA-PBE ThTa2O7, optimized geometry; values from VASP
! - SG: C2/m, No. 12
! - E_form (uncorrected): -3.158 eV per atom
! - V: 256.10 Å³ per cell
&SYSTEM
  ibrav = 0, nat = 20, ntyp = 3
/
ATOMIC_SPECIES
O 16.00 O.upf
Ta 180.95 Ta.upf
Th 232.04 Th.upf
ATOMIC_POSITIONS crystal
O 0.586 0.586 0.611
O 0.168 0.168 0.809
O 0.944 0.944 0.608
O 0.195 0.195 0.502
O 0.804 0.804 0.832
O 0.607 0.607 0.067
O 0.987 0.987 0.141
O 0.393 0.393 0.933
O 0.832 0.832 0.191
O 0.414 0.414 0.389
O 0.056 0.056 0.392
O 0.196 0.196 0.168
O 0.013 0.013 0.859
O 0.805 0.805 0.498
Ta 0.892 0.892 0.979
Ta 0.108 0.108 0.021
Ta 0.071 0.071 0.633
Ta 0.929 0.929 0.367
Th 0.689 0.689 0.333
Th 0.311 0.311 0.667
CELL_PARAMETERS angstrom
-2.337 -6.212 -4.586
-1.177 -3.508 -7.169
7.566 -3.635 -0.407



Entry 3:
! GGA-PBE Ga2ReS, optimized geometry; values from VASP
! - SG: I-42d, No. 122
! - E_form (uncorrected): 0.742 eV per atom
! - V: 184.18 Å³ per cell
&SYSTEM
  ibrav = 0, nat = 8, ntyp = 3
/
ATOMIC_SPECIES
Ga 69.72 Ga.upf
Re 186.21 Re.upf
S 32.06 S.upf
ATOMIC_POSITIONS crystal
Ga 0.875 0.870 0.750
Ga 0.130 0.625 0.250
Ga 0.375 0.380 0.750
Ga 0.620 0.125 0.250
Re 0.750 0.250 0.500
Re 0.000 0.000 0.000
S 0.250 0.750 0.500
S 0.500 0.500 0.000
CELL_PARAMETERS angstrom
-1.313 3.281 4.664
-5.659 -1.337 -0.653
-2.844 -3.309 5.198



Entry 4:
! GGA-PBE MoPPdBr2, optimized geometry; values from VASP
! - SG: P4/mmm, No. 123
! - E_form (uncorrected): 0.589 eV per atom
! - V: 123.31 Å³ per cell
&SYSTEM
  ibrav = 0, nat = 5, ntyp = 4
/
ATOMIC_SPECIES
Mo 95.94 Mo.upf
Br 79.90 Br.upf
Pd 106.42 Pd.upf
P 30.97 P.upf
ATOMIC_POSITIONS crystal
Mo 0.000 0.000 0.000
Br 0.000 0.000 0.500
Br 0.500 0.000 0.000
Pd 0.500 0.500 0.500
P 0.000 0.500 0.000
CELL_PARAMETERS angstrom
-4.925 1.582 -0.123
-0.884 -2.458 3.793
1.237 4.080 2.932



Entry 5:
! GGA-PBE SrBePt3, optimized geometry; values from VASP
! - SG: P1, No. 1
! - V: 201.19 Å³ per cell
! - ΔH_f (0 K): -3.38 eV/f.u.
&SYSTEM
  ibrav = 0, nat = 10, ntyp = 3
/
ATOMIC_SPECIES
Pt 195.08 Pt.upf
Be 9.01 Be.upf
Sr 87.62 Sr.upf
ATOMIC_POSITIONS crystal
Pt 0.767 0.391 0.783
Pt 0.280 0.180 0.352
Pt 0.280 0.686 0.351
Pt 0.419 0.363 0.073
Pt 0.260 0.890 0.790
Pt 0.261 0.393 0.790
Be 0.118 0.458 0.562
Be 0.425 0.115 0.572
Sr 0.760 0.033 0.072
Sr 0.765 0.774 0.548
CELL_PARAMETERS angstrom
-2.905 3.907 2.559
-1.014 -5.280 1.047
5.633 2.787 5.223



Entry 6:
! GGA-PBE IrPd2W, optimized geometry; values from VASP
! - SG: I-42d, No. 122
! - V: 133.74 Å³ per cell
! - ΔH_f (0 K): 2.57 eV/f.u.
&SYSTEM
  ibrav = 0, nat = 8, ntyp = 3
/
ATOMIC_SPECIES
Pd 106.42 Pd.upf
Ir 192.22 Ir.upf
W 183.84 W.upf
ATOMIC_POSITIONS crystal
Pd 0.611 0.125 0.250
Pd 0.139 0.625 0.250
Pd 0.375 0.389 0.750
Pd 0.875 0.861 0.750
Ir 0.000 0.000 0.000
Ir 0.750 0.250 0.500
W 0.250 0.750 0.500
W 0.500 0.500 0.000
CELL_PARAMETERS angstrom
-5.197 3.925 2.960
-3.595 -5.972 1.607
-3.170 -1.140 4.590



Entry 7:
! GGA-PBE SrMg2Tc, optimized geometry; values from VASP
! - SG: F-43m, No. 216
! - V: 92.88 Å³ per cell
! - ΔH_f (0 K): 2.41 eV/f.u.
&SYSTEM
  ibrav = 0, nat = 4, ntyp = 3
/
ATOMIC_SPECIES
Sr 87.62 Sr.upf
Mg 24.30 Mg.upf
Tc 98.00 Tc.upf
ATOMIC_POSITIONS crystal
Sr 0.500 0.500 0.500
Mg 0.000 0.000 0.000
Mg 0.250 0.250 0.250
Tc 0.750 0.750 0.750
CELL_PARAMETERS angstrom
5.083 0.000 0.000
2.542 4.402 0.000
2.542 1.467 4.151



Entry 8:
! GGA-PBE BeBrCl, optimized geometry; values from VASP
! - SG: P1, No. 1
! - E_form (uncorrected): -1.157 eV per atom
! - V: 79.23 Å³ per cell
&SYSTEM
  ibrav = 0, nat = 3, ntyp = 3
/
ATOMIC_SPECIES
Cl 35.45 Cl.upf
Be 9.01 Be.upf
Br 79.90 Br.upf
ATOMIC_POSITIONS crystal
Cl 0.668 0.280 0.387
Be 0.079 0.281 0.208
Br 0.978 0.779 0.004
CELL_PARAMETERS angstrom
-2.392 1.544 1.899
-1.144 -3.150 1.120
5.371 -0.485 4.091